Computed, not measured: a relaxed structure of Ti2Al2Cu at the PBE level of DFT.

a b c (Å): 7.6770 7.6770 2.9166
angles (deg): 90.00 90.00 90.00
Last column: nearest neighbours and their distance in Å.
Atoms (fractional coordinates):
1 Al 0.6824 0.8176 0.5000  6 Ti 2.61-2.78, 2 Al 2.92
2 Al 0.3176 0.1824 0.5000  6 Ti 2.61-2.78, 2 Al 2.92
3 Al 0.8176 0.3176 0.5000  6 Ti 2.61-2.78, 2 Al 2.92
4 Al 0.1824 0.6824 0.5000  6 Ti 2.61-2.78, 2 Al 2.92
5 Cu 0.0000 0.0000 0.0000  2 Cu 2.92, 4 Ti 3.07, 8 Al 3.17
6 Cu 0.5000 0.5000 0.0000  2 Cu 2.92, 4 Ti 3.07, 8 Al 3.17
7 Ti 0.3815 0.8815 0.0000  1 Ti 2.57, 6 Al 2.61-2.78
8 Ti 0.6185 0.1185 0.0000  1 Ti 2.57, 6 Al 2.61-2.78
9 Ti 0.8815 0.6185 0.0000  1 Ti 2.57, 6 Al 2.61-2.78
10 Ti 0.1185 0.3815 0.0000  1 Ti 2.57, 6 Al 2.61-2.78

## Properties
- Symmetry: No. 127
- Excess energy over the best structure of this formula in the dataset: 382 meV per atom
- Crystal system: tetragonal
- Formation energy: 0.14 eV per atom

Computed, not measured: a relaxed structure of Ti2AlCu2 at the PBE level of DFT.

a b c (Å): 3.1698 3.1698 8.3299
angles (deg): 79.03 79.03 90.00
Last column: nearest neighbours and their distance in Å.
Atoms (fractional coordinates):
1 Cu 0.7500 0.2500 0.5000  4 Cu 2.24
2 Cu 0.2500 0.7500 0.5000  4 Cu 2.24
3 Ti 0.6101 0.6101 0.7797  4 Cu 2.75, 4 Al 2.85
4 Ti 0.3899 0.3899 0.2203  4 Cu 2.75, 4 Al 2.85
5 Al 0.0000 0.0000 0.0000  8 Ti 2.85, 4 Al 3.17

## Properties
- Symmetry: No. 139
- Excess energy over the best structure of this formula in the dataset: 355 meV per atom
- Crystal system: tetragonal
- Formation energy: 0.16 eV per atom

Computed, not measured: a relaxed structure of TiAlCu at the PBE level of DFT.

a b c (Å): 2.8792 7.0274 4.8882
angles (deg): 110.80 107.09 78.19
Last column: nearest neighbours and their distance in Å.
Atoms (fractional coordinates):
1 Al 0.2275 0.4374 0.3797  5 Cu 2.58-2.75, 3 Ti 2.79-2.89, 2 Al 2.88
2 Al 0.2308 0.8487 0.7975  5 Cu 2.58-2.75, 2 Ti 2.79, 2 Al 2.88
3 Ti 0.8814 0.0803 0.3313  5 Ti 2.67-2.88, 2 Cu 2.72, 4 Al 2.79-2.89
4 Ti 0.5768 0.2058 0.8458  5 Ti 2.67-2.88, 2 Cu 2.72-2.73, 4 Al 2.79-2.89
5 Cu 0.9142 0.5453 0.8617  2 Cu 2.57, 5 Al 2.58-2.75, 2 Ti 2.72-2.73
6 Cu 0.5437 0.7412 0.3158  2 Cu 2.57, 5 Al 2.58-2.75, 2 Ti 2.72

## Properties
- Symmetry: No. 12
- Crystal system: monoclinic
- Formation energy: -0.25 eV per atom

Computed, not measured: a relaxed structure of TiAlCu3 at the PBE level of DFT.

a b c (Å): 4.3616 4.3616 4.3616
angles (deg): 90.00 90.00 90.00
Last column: nearest neighbours and their distance in Å.
Atoms (fractional coordinates):
1 Cu 0.0000 0.0000 0.5000  2 Al 2.18
2 Cu 0.0000 0.5000 0.0000  2 Al 2.18
3 Cu 0.5000 0.0000 0.0000  2 Al 2.18
4 Al 0.0000 0.0000 0.0000  6 Cu 2.18
5 Ti 0.5000 0.5000 0.5000  12 Cu 3.08

## Properties
- Symmetry: No. 221
- Excess energy over the best structure of this formula in the dataset: 852 meV per atom
- Crystal system: cubic
- Formation energy: 0.62 eV per atom

Computed, not measured: a relaxed structure of TiAlCu2 at the PBE level of DFT.

a b c (Å): 2.8705 2.8705 6.7443
angles (deg): 90.00 90.00 90.00
Last column: nearest neighbours and their distance in Å.
Atoms (fractional coordinates):
1 Cu 0.5000 0.5000 0.7678  4 Al 2.56, 4 Ti 2.72, 4 Cu 2.87
2 Cu 0.5000 0.5000 0.2322  4 Al 2.56, 4 Ti 2.72, 4 Cu 2.87
3 Al 0.0000 0.0000 0.0000  8 Cu 2.56, 4 Al 2.87
4 Ti 0.0000 0.0000 0.5000  8 Cu 2.72, 4 Ti 2.87

## Properties
- Symmetry: No. 123
- Crystal system: tetragonal
- Formation energy: -0.20 eV per atom

Computed, not measured: a relaxed structure of Ti2AlCu at the PBE level of DFT.

a b c (Å): 2.7795 2.7691 8.3607
angles (deg): 99.53 90.00 90.00
Last column: nearest neighbours and their distance in Å.
Atoms (fractional coordinates):
1 Al 0.0000 0.3101 0.6203  4 Al 2.77-2.78, 6 Ti 2.82-2.84
2 Ti 0.5000 0.4590 0.9179  4 Cu 2.70, 4 Ti 2.77-2.78, 2 Al 2.82
3 Ti 0.5000 0.6853 0.3705  4 Cu 2.72, 4 Ti 2.77-2.78, 4 Al 2.84
4 Cu 0.0000 0.0711 0.1422  8 Ti 2.70-2.72, 4 Cu 2.77-2.78

## Properties
- Symmetry: No. 38
- Crystal system: orthorhombic
- Formation energy: -0.07 eV per atom

Computed, not measured: a relaxed structure of Ti5Al4Cu at the PBE level of DFT.

a b c (Å): 4.5091 6.6341 6.6341
angles (deg): 83.37 70.13 70.13
Last column: nearest neighbours and their distance in Å.
Atoms (fractional coordinates):
1 Al 0.1618 0.3153 0.3153  7 Ti 2.75-3.04
2 Al 0.4771 0.3153 0.6847  7 Ti 2.75-3.04
3 Al 0.4771 0.6847 0.3153  7 Ti 2.75-3.04
4 Al 0.7924 0.6847 0.6847  7 Ti 2.75-3.04
5 Ti 0.7805 0.0000 0.3774  1 Cu 2.45, 2 Ti 2.72
6 Ti 0.1579 0.0000 0.6226  1 Cu 2.45, 2 Ti 2.72
7 Ti 0.6047 0.0000 0.0000  2 Cu 2.18-2.32
8 Ti 0.1580 0.6226 0.0000  1 Cu 2.45, 2 Ti 2.72
9 Ti 0.7805 0.3774 0.0000  1 Cu 2.45, 2 Ti 2.72
10 Cu 0.1203 0.0000 0.0000  2 Ti 2.18-2.32

## Properties
- Symmetry: No. 107
- Excess energy over the best structure of this formula in the dataset: 381 meV per atom
- Crystal system: tetragonal
- Formation energy: 0.04 eV per atom

Computed, not measured: a relaxed structure of TiAlCu at the PBE level of DFT.

a b c (Å): 5.4888 4.8550 4.8550
angles (deg): 130.36 67.01 112.99
Last column: nearest neighbours and their distance in Å.
Atoms (fractional coordinates):
1 Cu 0.3812 0.4610 0.9241  1 Cu 2.51, 3 Al 2.54-2.76, 4 Ti 2.66-2.70
2 Cu 0.1954 0.1466 0.2387  1 Cu 2.51, 4 Al 2.58-2.65, 2 Ti 2.62-2.66
3 Al 0.8903 0.4774 0.9079  4 Cu 2.65-2.76, 6 Ti 2.76-2.85, 2 Al 2.93
4 Al 0.5047 0.7738 0.6116  3 Cu 2.54-2.58, 3 Ti 2.76-2.80
5 Ti 0.0352 0.8206 0.5647  5 Cu 2.62-2.91, 5 Al 2.76-2.78, 2 Ti 2.80
6 Ti 0.6968 0.1237 0.2616  4 Cu 2.66-2.84, 6 Al 2.80-2.87, 2 Ti 2.80

## Properties
- Symmetry: No. 8
- Crystal system: monoclinic
- Formation energy: -0.23 eV per atom

Computed, not measured: a relaxed structure of Ti8AlCu2 at the PBE level of DFT.

a b c (Å): 4.3654 7.2213 7.2213
angles (deg): 119.65 100.89 100.89
Last column: nearest neighbours and their distance in Å.
Atoms (fractional coordinates):
1 Ti 0.7075 0.3998 0.3998  1 Ti 2.42, 2 Cu 2.69, 1 Al 2.70
2 Ti 0.8819 0.6880 0.9065  2 Cu 2.62-2.83, 4 Ti 2.73-2.88, 1 Al 2.88
3 Ti 0.2925 0.6002 0.6002  1 Ti 2.42, 2 Cu 2.69, 1 Al 2.70
4 Ti 0.5000 0.7816 0.2184  2 Cu 2.45, 1 Al 2.73
5 Ti 0.1181 0.3120 0.0935  2 Cu 2.62-2.83, 4 Ti 2.73-2.88, 1 Al 2.88
6 Ti 0.5000 0.2184 0.7816  2 Cu 2.45, 1 Al 2.73
7 Ti 0.8819 0.9065 0.6880  2 Cu 2.62-2.83, 4 Ti 2.73-2.88, 1 Al 2.88
8 Ti 0.1181 0.0935 0.3120  2 Cu 2.62-2.83, 4 Ti 2.73-2.88, 1 Al 2.88
9 Cu 0.0000 0.3074 0.6926  6 Ti 2.45-2.69
10 Cu 0.0000 0.6926 0.3074  6 Ti 2.45-2.69
11 Al 0.5000 0.0000 0.0000  12 Ti 2.70-2.94

## Properties
- Symmetry: No. 12
- Crystal system: monoclinic
- Formation energy: 0.03 eV per atom

Computed, not measured: a relaxed structure of TiAl2Cu at the PBE level of DFT.

a b c (Å): 3.7932 3.9457 3.9457
angles (deg): 90.00 90.00 90.00
Last column: nearest neighbours and their distance in Å.
Atoms (fractional coordinates):
1 Al 0.0000 0.0000 0.5000  4 Cu 2.74, 4 Ti 2.74, 4 Al 2.79
2 Al 0.0000 0.5000 0.0000  4 Cu 2.74, 4 Ti 2.74, 4 Al 2.79
3 Ti 0.5000 0.0000 0.0000  8 Al 2.74, 4 Cu 2.79
4 Cu 0.5000 0.5000 0.5000  8 Al 2.74, 4 Ti 2.79

## Properties
- Symmetry: No. 123
- Crystal system: tetragonal
- Formation energy: -0.38 eV per atom

Computed, not measured: a relaxed structure of Ti2AlCu at the PBE level of DFT.

a b c (Å): 2.8172 2.8172 7.6839
angles (deg): 90.00 90.00 90.00
Last column: nearest neighbours and their distance in Å.
Atoms (fractional coordinates):
1 Cu 0.5000 0.5000 0.0000  8 Ti 2.72, 4 Cu 2.82
2 Ti 0.0000 0.0000 0.7596  4 Cu 2.72, 4 Ti 2.82, 4 Al 2.82
3 Ti 0.0000 0.0000 0.2404  4 Cu 2.72, 4 Ti 2.82, 4 Al 2.82
4 Al 0.5000 0.5000 0.5000  4 Al 2.82, 8 Ti 2.82

## Properties
- Symmetry: No. 123
- Crystal system: tetragonal
- Formation energy: -0.25 eV per atom

Computed, not measured: a relaxed structure of TiAlCu2 at the PBE level of DFT.

a b c (Å): 3.7594 3.7594 9.1188
angles (deg): 78.10 78.10 90.00
Last column: nearest neighbours and their distance in Å.
Atoms (fractional coordinates):
1 Cu 0.8750 0.8566 0.7500  2 Al 2.53, 4 Cu 2.56-2.76, 2 Ti 2.58
2 Cu 0.3750 0.3934 0.7500  2 Al 2.53, 4 Cu 2.56-2.76, 2 Ti 2.58
3 Cu 0.1434 0.6250 0.2500  2 Al 2.53, 4 Cu 2.56-2.76, 2 Ti 2.58
4 Cu 0.6066 0.1250 0.2500  2 Al 2.53, 4 Cu 2.56-2.76, 2 Ti 2.58
5 Ti 0.7500 0.2500 0.5000  4 Cu 2.58, 4 Al 2.66
6 Ti 0.0000 0.0000 0.0000  4 Cu 2.58, 4 Al 2.66
7 Al 0.2500 0.7500 0.5000  4 Cu 2.53, 4 Ti 2.66
8 Al 0.5000 0.5000 0.0000  4 Cu 2.53, 4 Ti 2.66

## Properties
- Symmetry: No. 122
- Crystal system: tetragonal
- Formation energy: 0.18 eV per atom

Computed, not measured: a relaxed structure of Ti2AlCu at the PBE level of DFT.

a b c (Å): 4.4623 4.4623 4.4623
angles (deg): 60.00 60.00 60.00
Last column: nearest neighbours and their distance in Å.
Atoms (fractional coordinates):
1 Cu 0.5000 0.5000 0.5000  4 Ti 2.73, 4 Al 2.73
2 Ti 0.2500 0.2500 0.2500  4 Cu 2.73, 4 Ti 2.73
3 Ti 0.0000 0.0000 0.0000  4 Al 2.73, 4 Ti 2.73
4 Al 0.7500 0.7500 0.7500  4 Ti 2.73, 4 Cu 2.73

## Properties
- Symmetry: No. 216
- Crystal system: cubic
- Formation energy: -0.06 eV per atom

Computed, not measured: a relaxed structure of TiAl3Cu at the PBE level of DFT.

a b c (Å): 4.4872 4.4872 4.4872
angles (deg): 90.00 90.00 90.00
Last column: nearest neighbours and their distance in Å.
Atoms (fractional coordinates):
1 Al 0.5000 0.0000 0.0000  2 Cu 2.24
2 Al 0.0000 0.5000 0.0000  2 Cu 2.24
3 Al 0.0000 0.0000 0.5000  2 Cu 2.24
4 Cu 0.0000 0.0000 0.0000  6 Al 2.24
5 Ti 0.5000 0.5000 0.5000  12 Al 3.17

## Properties
- Symmetry: No. 221
- Excess energy over the best structure of this formula in the dataset: 0 meV per atom
- Crystal system: cubic
- Formation energy: 0.38 eV per atom

Computed, not measured: a relaxed structure of TiAlCu3 at the PBE level of DFT.

a b c (Å): 4.6328 4.6328 4.6328
angles (deg): 90.00 90.00 90.00
Last column: nearest neighbours and their distance in Å.
Atoms (fractional coordinates):
1 Ti 0.0000 0.0000 0.0000  6 Cu 2.32
2 Cu 0.0000 0.5000 0.0000  2 Ti 2.32
3 Cu 0.5000 0.0000 0.0000  2 Ti 2.32
4 Cu 0.0000 0.0000 0.5000  2 Ti 2.32
5 Al 0.5000 0.5000 0.5000  12 Cu 3.28

## Properties
- Symmetry: No. 221
- Excess energy over the best structure of this formula in the dataset: 1398 meV per atom
- Crystal system: cubic
- Formation energy: 1.17 eV per atom

Computed, not measured: a relaxed structure of TiAlCu at the PBE level of DFT.

a b c (Å): 4.9887 4.9887 8.1045
angles (deg): 90.00 90.00 118.63
Last column: nearest neighbours and their distance in Å.
Atoms (fractional coordinates):
1 Cu 0.1690 0.8310 0.5000  4 Cu 2.41-2.58, 2 Al 2.45
2 Cu 0.8377 0.1623 0.0000  6 Al 2.43-2.56
3 Cu 0.1705 0.3487 0.5000  4 Cu 2.41-2.64, 2 Al 2.45
4 Cu 0.6513 0.8295 0.5000  4 Cu 2.41-2.64, 2 Al 2.45
5 Ti 0.6620 0.3379 0.3193  7 Cu 2.88-3.00, 5 Al 2.88-2.97, 4 Ti 2.93-3.13
6 Ti 0.3362 0.6638 0.8073  5 Cu 2.85-2.99, 7 Al 2.91-2.99, 4 Ti 2.98-3.13
7 Ti 0.3362 0.6638 0.1927  5 Cu 2.85-2.99, 7 Al 2.91-2.99, 4 Ti 2.98-3.13
8 Ti 0.6620 0.3379 0.6807  7 Cu 2.88-3.00, 5 Al 2.88-2.97, 4 Ti 2.93-3.13
9 Al 0.3510 0.1626 0.0000  2 Cu 2.43-2.56, 4 Al 2.48-2.64
10 Al 0.9933 0.0067 0.7385  4 Cu 2.45-2.50, 2 Al 2.64
11 Al 0.8374 0.6490 0.0000  2 Cu 2.43-2.56, 4 Al 2.48-2.64
12 Al 0.9933 0.0067 0.2615  4 Cu 2.45-2.50, 2 Al 2.64

## Properties
- Symmetry: No. 38
- Crystal system: orthorhombic
- Formation energy: -0.30 eV per atom

Computed, not measured: a relaxed structure of TiAlCu at the PBE level of DFT.

a b c (Å): 4.0627 5.4574 5.4875
angles (deg): 124.74 89.58 68.21
Last column: nearest neighbours and their distance in Å.
Atoms (fractional coordinates):
1 Cu 0.0803 0.4644 0.9480  3 Al 2.50-2.65, 1 Cu 2.51, 4 Ti 2.68-2.78
2 Cu 0.7834 0.0703 0.4190  3 Al 2.50-2.66, 1 Cu 2.51, 4 Ti 2.68-2.78
3 Al 0.4547 0.7173 0.9009  3 Cu 2.50-2.66, 1 Al 2.73, 2 Ti 2.77
4 Al 0.4089 0.8174 0.4662  3 Cu 2.50-2.65, 1 Al 2.73, 2 Ti 2.77
5 Ti 0.7583 0.1110 0.9362  4 Cu 2.68-2.78, 5 Al 2.77-2.90, 3 Ti 2.81-2.97
6 Ti 0.1053 0.4238 0.4308  4 Cu 2.68-2.78, 5 Al 2.77-2.90, 3 Ti 2.81-2.97

## Properties
- Symmetry: No. 2
- Crystal system: triclinic
- Formation energy: -0.23 eV per atom

Computed, not measured: a relaxed structure of Ti2AlCu at the PBE level of DFT.

a b c (Å): 4.0199 3.8950 3.8950
angles (deg): 90.00 90.00 90.00
Last column: nearest neighbours and their distance in Å.
Atoms (fractional coordinates):
1 Ti 0.0000 0.0000 0.5000  4 Ti 2.75, 4 Cu 2.80, 4 Al 2.80
2 Ti 0.0000 0.5000 0.0000  4 Ti 2.75, 4 Cu 2.80, 4 Al 2.80
3 Cu 0.5000 0.0000 0.0000  4 Al 2.75, 8 Ti 2.80
4 Al 0.5000 0.5000 0.5000  4 Cu 2.75, 8 Ti 2.80

## Properties
- Symmetry: No. 123
- Crystal system: tetragonal
- Formation energy: -0.24 eV per atom

Computed, not measured: a relaxed structure of TiAl2Cu at the PBE level of DFT.

a b c (Å): 4.0943 4.0943 4.9219
angles (deg): 65.42 65.42 60.00
Last column: nearest neighbours and their distance in Å.
Atoms (fractional coordinates):
1 Cu 0.5000 0.5000 0.5000  6 Al 2.47
2 Al 0.7772 0.7772 0.6683  3 Cu 2.47, 3 Ti 2.76
3 Al 0.2228 0.2228 0.3317  3 Cu 2.47, 3 Ti 2.76
4 Ti 0.0000 0.0000 0.0000  8 Al 2.76-2.89

## Properties
- Symmetry: No. 166
- Crystal system: trigonal
- Formation energy: -0.13 eV per atom

Computed, not measured: a relaxed structure of TiAlCu at the PBE level of DFT.

a b c (Å): 5.1432 4.2169 5.1461
angles (deg): 114.17 66.08 114.18
Last column: nearest neighbours and their distance in Å.
Atoms (fractional coordinates):
1 Al 0.6263 0.9064 0.9070  2 Cu 2.44, 1 Al 2.60
2 Al 0.9744 0.2520 0.2501  2 Cu 2.44, 1 Al 2.60
3 Cu 0.4632 0.2421 0.7415  2 Al 2.44, 1 Cu 2.45
4 Cu 0.1371 0.9162 0.4157  2 Al 2.44, 1 Cu 2.45
5 Ti 0.5491 0.5801 0.3318  2 Ti 2.78-2.83, 6 Cu 2.80-2.91, 6 Al 2.83-2.85
6 Ti 0.0516 0.5782 0.8254  2 Ti 2.78-2.83, 6 Cu 2.80-2.91, 6 Al 2.83-2.85

## Properties
- Symmetry: No. 12
- Crystal system: monoclinic
- Formation energy: -0.28 eV per atom

Calculated volume list, top to bottom, in Å³ per atom: 17.19 16.12 14.64 16.59 13.89 15.87 17.55 14.83 16.67 14.76 15.25 15.41 15.71 18.07 19.89 14.75 14.82 15.25 15.67 14.84